Record 1
This record from Alexandria via LeMat-Bulk describes an optimized crystal structure of Nd6Mg5Zn. The functional is PBE.

The density of states at the Fermi level is 1.097 states/eV per atom. The value obtained for the total energy is -39.5 eV per formula unit. The value obtained for the energy of formation is -0.136 eV/atom. As for the theoretical density: 5094 kg/m³.

It has space group P2/m (No. 10), with a = 5.431 Å, b = 7.742 Å, c = 8.596 Å, α = 90.00°, β = 108.37° and γ = 90.00°. The inequivalent atoms are Nd at (0.000, 0.239, 0.000), Nd at (0.338, 0.245, 0.676), Mg at (0.168, 0.500, 0.336), Mg at (0.172, 0.000, 0.344), Mg at (0.500, 0.500, 0.000) and Zn at (0.500, 0.000, 0.000).

=====

Record 2
This record from Alexandria via LeMat-Bulk describes an optimized crystal structure of HfGa2SiCl. The functional is PBE.

The density of states at the Fermi level is 0.457 states/eV per atom. The value obtained for the total energy is -19.8 eV per formula unit. The value obtained for the formation energy from raw total energies is 66.6 kJ/mol of atoms. As for the theoretical density: 5457 kg/m³.

It has space group P4/mmm (No. 123), with a = 4.950 Å, b = 4.950 Å, c = 4.737 Å, α = 90.00°, β = 90.00° and γ = 90.00°. The inequivalent atoms are Hf at (0.000, 0.000, 0.000), Ga at (0.000, 0.500, 0.500), Si at (0.500, 0.500, 0.000) and Cl at (0.000, 0.000, 0.500).

=====

Record 3
This record from Alexandria via LeMat-Bulk describes an optimized crystal structure of Cu3SiSe. The functional is PBE.

The density of states at the Fermi level is 0.788 states/eV per atom. The value obtained for the total energy is -17.4 eV per formula unit. The distance to the lowest polymorph of the same formula is 0.87 eV per formula unit. The value obtained for the formation energy from raw total energies is 72.8 kJ/mol of atoms. As for the theoretical density: 5174 kg/m³.

It has space group Pm-3m (No. 221), with a = 4.571 Å, b = 4.571 Å, c = 4.571 Å, α = 90.00°, β = 90.00° and γ = 90.00°. The inequivalent atoms are Cu at (0.000, 0.000, 0.500), Si at (0.500, 0.500, 0.500) and Se at (0.000, 0.000, 0.000).

=====

Record 4
This record from Alexandria via LeMat-Bulk describes an optimized crystal structure of NdZrNb4. The functional is PBE.

The density of states at the Fermi level is 1.353 states/eV per atom. The value obtained for the total energy is -52.6 eV per formula unit. The value obtained for the energy of formation is 0.170 eV/atom. As for the theoretical density: 7831 kg/m³.

It has space group F-43m (No. 216), with a = 8.015 Å, b = 8.015 Å, c = 8.015 Å, α = 90.00°, β = 90.00° and γ = 90.00°. The inequivalent atoms are Nd at (0.000, 0.000, 0.000), Zr at (0.250, 0.250, 0.250) and Nb at (0.125, 0.125, 0.625).

=====

Record 5
This record from Alexandria via LeMat-Bulk describes an optimized crystal structure of NaDy4TmSe8. The functional is PBE.

The density of states at the Fermi level is 0.000 states/eV per atom. The value obtained for the total energy is -76.8 eV per formula unit. The value obtained for the formation energy from raw total energies is -170.5 kJ/mol of atoms. As for the theoretical density: 5759 kg/m³.

It has space group R3m (No. 160, hexagonal axes), with a = 8.4542 Å, b = 8.4542 Å, c = 20.5934 Å, α = 90.00°, β = 90.00° and γ = 120.00°. The inequivalent atoms are Na at (0.0000, 0.0000, 0.0000), Dy at (0.0000, 0.0000, 0.2487), Dy at (0.1732, 0.3465, 0.4559), Tm at (0.0000, 0.0000, 0.6293), Se at (0.0000, 0.0000, 0.3822), Se at (0.0000, 0.0000, 0.8646), Se at (0.0280, 0.5140, 0.3765) and Se at (0.1786, 0.3572, 0.2058).

=====

Record 6
This record from Alexandria via LeMat-Bulk describes an optimized crystal structure of ZrScGaTc. The functional is PBE.

The density of states at the Fermi level is 0.591 states/eV per atom. The value obtained for the total energy is -30.3 eV per formula unit. The value obtained for the energy of formation is -0.502 eV/atom. As for the theoretical density: 6874 kg/m³.

It has space group P4mm (No. 99), with a = 3.376 Å, b = 3.376 Å, c = 6.440 Å, α = 90.00°, β = 90.00° and γ = 90.00°. The inequivalent atoms are Zr at (0.000, 0.000, 0.000), Sc at (0.000, 0.000, 0.526), Ga at (0.500, 0.500, 0.269) and Tc at (0.500, 0.500, 0.772).